Entry 1:
Material: Li2BiBRh
Method: DFT, PBE
State: optimized geometry

Values from the calculation:
DFT total energy in eV/cell: -15.29
Formation energy in kJ per mole of atoms: 124.5

The structure in CIF format:
```
data_Li2BiBRh
_chemical_formula_sum 'Li2 Bi1 B1 Rh1'
_cell_length_a 5.1129
_cell_length_b 5.1129
_cell_length_c 5.0464
_cell_angle_alpha 90.00
_cell_angle_beta 90.00
_cell_angle_gamma 90.00
_symmetry_space_group_name_H-M 'P 4/m m m'
_symmetry_Int_Tables_number 123
_symmetry_space_group_name_Hall '-P 4 2'
loop_
_atom_site_label
_atom_site_fract_x
_atom_site_fract_y
_atom_site_fract_z
_atom_site_occupancy
Li1 0.0000 0.5000 0.0000 1
Bi1 0.0000 0.0000 0.0000 1
B1 0.5000 0.5000 0.5000 1
Rh1 0.0000 0.0000 0.5000 1
```

***

Entry 2:
Material: LaNdSbO
Method: DFT, PBE
State: optimized geometry

Values from the calculation:
DFT total energy in eV/cell: -157.13
Raw formation energy in eV/atom: -1.853

The structure in CIF format:
```
data_LaNdSbO
_chemical_formula_sum 'La6 Nd6 Sb6 O6'
_cell_length_a 4.2292
_cell_length_b 4.2292
_cell_length_c 43.0875
_cell_angle_alpha 90.00
_cell_angle_beta 90.00
_cell_angle_gamma 120.00
_symmetry_space_group_name_H-M 'R -3 m'
_symmetry_Int_Tables_number 166
_symmetry_space_group_name_Hall '-R 3 2"'
loop_
_atom_site_label
_atom_site_fract_x
_atom_site_fract_y
_atom_site_fract_z
_atom_site_occupancy
La1 0.0000 0.0000 0.0000 1
La2 0.0000 0.0000 0.5000 1
Nd1 0.0000 0.0000 0.2413 1
Sb1 0.0000 0.0000 0.3812 1
O1 0.0000 0.0000 0.1890 1
```

***

Entry 3:
Material: Nd3TmMg8
Method: DFT, PBE
State: optimized geometry

Values from the calculation:
DFT total energy in eV/cell: -97.82
Formation energy in kJ per mole of atoms: -8.6

The structure in CIF format:
```
data_Nd3TmMg8
_chemical_formula_sum 'Nd9 Tm3 Mg24'
_cell_length_a 6.1091
_cell_length_b 6.1091
_cell_length_c 29.8074
_cell_angle_alpha 90.00
_cell_angle_beta 90.00
_cell_angle_gamma 120.00
_symmetry_space_group_name_H-M 'R 3 m'
_symmetry_Int_Tables_number 160
_symmetry_space_group_name_Hall 'R 3 -2"'
loop_
_atom_site_label
_atom_site_fract_x
_atom_site_fract_y
_atom_site_fract_z
_atom_site_occupancy
Nd1 0.0000 0.0000 0.0000 1
Nd2 0.0000 0.0000 0.1254 1
Nd3 0.0000 0.0000 0.6240 1
Tm1 0.0000 0.0000 0.4996 1
Mg1 0.0000 0.0000 0.3124 1
Mg2 0.0000 0.0000 0.8121 1
Mg3 0.0013 0.5007 0.0631 1
Mg4 0.1671 0.3342 0.8949 1
```